Compound: Cr2TePb
Source: Alexandria via LeMat-Bulk
Functional: PBE-GGA
Structure: relaxed

Cell lengths 5.155, 5.155, 5.155 Å; angles 60.00, 60.00, 60.00 degrees
Last column: magnetic moment on the atom in μB.
Fractional coordinates of all 4 atoms:
1 Cr 0.000 0.000 0.000  3.87
2 Cr 0.750 0.750 0.750  3.98
3 Pb 0.500 0.500 0.500  -0.05
4 Te 0.250 0.250 0.250  -0.02

Summary:
Its symmetry is No. 216. For the formation energy without anion corrections, the calculation gives 0.82 eV/atom. The value obtained for the total energy is -22.8 eV/cell.